[1]
The following is a DFT calculation (PBE-GGA) of Pm7ErTm12 after structural relaxation.

Values from the calculation:
The value obtained for the uncorrected energy is -4.341 eV per atom. The value obtained for the formation enthalpy at 0 K is 233 meV/atom. As for the magnetization: 0.000 μB/atom. As for the space group: R-3 (148).

Geometry as extended XYZ:
```
20
Lattice="8.393 1.293 1.941 -1.091 8.422 1.941 -1.091 -1.452 8.520" Properties=species:S:1:pos:R:3 pbc="T T T"
Pm 0.038 0.831 3.847
Pm 3.118 7.328 10.155
Pm 0.787 3.447 1.729
Pm 5.423 4.816 10.674
Pm 3.105 4.132 6.201
Pm 6.172 7.433 8.556
Pm 3.092 0.935 2.248
Tm 4.495 1.213 5.700
Tm 1.307 0.492 7.159
Tm 0.109 6.070 4.042
Tm -0.085 3.467 6.491
Tm 5.800 3.040 3.211
Tm 3.354 5.650 3.315
Tm 6.295 4.796 5.912
Tm 4.904 7.771 5.244
Tm 2.857 2.613 9.088
Tm 6.101 2.193 8.361
Tm 0.410 5.224 9.191
Tm 1.716 7.050 6.703
Er 0.000 0.000 0.000
```



[2]
The following is a DFT calculation (PBE-GGA) of Sc2BeTl after structural relaxation.

Values from the calculation:
The value obtained for the uncorrected energy is -4.597 eV per atom. The value obtained for the formation enthalpy at 0 K is 92 meV/atom. As for the magnetization: 0.000 μB/atom. As for the space group: C2/m (12).

Geometry as extended XYZ:
```
4
Lattice="4.651 -0.001 -0.005 3.439 3.131 -0.005 1.194 0.462 5.926" Properties=species:S:1:pos:R:3 pbc="T T T"
Tl 6.963 2.694 4.437
Be 2.321 0.898 1.479
Sc 4.692 1.815 2.735
Sc 8.039 3.110 0.214
```